Record 1
NbSnGeP2 after structural relaxation, computed with PBE.

POSCAR file:
```
NbSnGeP2
1.0
-0.2529 2.3114 -4.0257
-4.6927 -1.7535 -0.7120
-1.7203 3.6979 2.2312
P Nb Ge Sn
2 1 1 1
Direct
0.0000 0.0000 0.5000
0.5000 0.0000 0.0000
0.0000 0.5000 0.0000
0.0000 0.0000 0.0000
0.5000 0.5000 0.5000
```

## Properties
uncorrected energy = -4.95 eV/atom
density of states at the Fermi level = 0.9080 states/eV per atom
total magnetic moment = 0.1 Bohr magnetons per cell
ρ = 5.257 g cm⁻³

Record 2
La2NpPdS5 after structural relaxation, computed with PBE.

POSCAR file:
```
La2NpPdS5
1.0
-1.1422 1.0901 3.6554
-7.2291 0.1112 -4.4608
-1.9610 -11.7310 2.8856
La Np Pd S
4 2 2 10
Direct
0.8898 0.7796 0.8489
0.1187 0.2373 0.6973
0.1102 0.2204 0.3489
0.8813 0.7627 0.1973
0.8195 0.6390 0.5249
0.1805 0.3610 0.0249
0.5537 0.1073 0.9198
0.4463 0.8927 0.4198
0.3448 0.6895 0.0216
0.6970 0.3940 0.8685
0.4947 0.9895 0.7422
0.3031 0.6062 0.6793
0.9808 0.9616 0.5215
0.6552 0.3105 0.5216
0.3030 0.6060 0.3685
0.5053 0.0105 0.2422
0.6969 0.3938 0.1793
0.0192 0.0384 0.0215
```

## Properties
density of states at the Fermi level = 1.0004 states/eV per atom
ΔE_f (raw) = -14.58 eV/f.u.
total magnetic moment = 6.2 Bohr magnetons per cell
ρ = 6.449 g cm⁻³

Q: Among the records above, which one has the lowest density of states at the Fermi level?
A: NbSnGeP2

Q: Look up the density of states at the Fermi level of the first one.
A: 0.9080 states/eV per atom